This record from Alexandria via LeMat-Bulk describes a relaxed SiMoAu2 crystal. The functional is GGA-PBEsol.

Unit cell a=3.7990 b=3.7990 c=4.3305 alpha=90.00 beta=90.00 gamma=90.00
Space group P4/mmm (No. 123)
Unique sites:
Si  0.0000  0.0000  0.0000
Mo  0.5000  0.5000  0.0000
Au  0.0000  0.5000  0.5000

Theoretical density: 13.76 g/cm³
Uncorrected energy: -6.190 eV per atom
Formation energy (no corrections): 0.60 eV per formula unit

=====

This record from Alexandria via LeMat-Bulk describes a relaxed BaNbCd2Sn crystal. The functional is GGA-PBEsol.

Unit cell a=5.8175 b=5.8175 c=5.2429 alpha=90.00 beta=90.00 gamma=90.00
Space group P4/mmm (No. 123)
Unique sites:
Ba  0.0000  0.0000  0.0000
Nb  0.0000  0.0000  0.5000
Cd  0.0000  0.5000  0.0000
Sn  0.5000  0.5000  0.5000

DFT formation energy: 1689 meV/atom
Theoretical density: 5.37 g/cm³
Uncorrected energy: -2.236 eV per atom

=====

This record from Alexandria via LeMat-Bulk describes a relaxed Ba3Ta4TiO15 crystal. The functional is GGA-PBEsol.

Unit cell a=12.5770 b=12.5770 c=3.9527 alpha=90.00 beta=90.00 gamma=90.00
Space group P4/mbm (No. 127)
Unique sites:
Ba  0.0000  0.0000  0.0000
Ba  0.1624  0.3376  0.0000
Ta  0.0750  0.7842  0.5000
Ti  0.0000  0.5000  0.5000
O  0.0000  0.5000  0.0000
O  0.0056  0.3445  0.5000
O  0.0667  0.1412  0.5000
O  0.0795  0.7939  0.0000
O  0.2196  0.7196  0.5000

Theoretical density: 7.56 g/cm³
Uncorrected energy: -9.281 eV per atom
Energy above the lowest structure with this stoichiometry: 0.25 kJ/mol of atoms
Formation energy (no corrections): -69.76 eV per formula unit

=====

This record from Alexandria via LeMat-Bulk describes a relaxed CuNiMo2 crystal. The functional is GGA-PBEsol.

Unit cell a=3.6214 b=3.6214 c=7.9380 alpha=90.00 beta=90.00 gamma=90.00
Space group I4/mmm (No. 139)
Unique sites:
Cu  0.0000  0.0000  0.0000
Ni  0.0000  0.0000  0.5000
Mo  0.0000  0.5000  0.2500

DFT formation energy: 137 meV/atom
Theoretical density: 10.02 g/cm³
Uncorrected energy: -8.370 eV per atom

=====

This record from Alexandria via LeMat-Bulk describes a relaxed Na4Ga3Ge3BH4O12 crystal. The functional is GGA-PBEsol.

Unit cell a=9.1153 b=9.1153 c=9.1153 alpha=90.00 beta=90.00 gamma=90.00
Space group P-43n (No. 218)
Unique sites:
Na  0.1671  0.1671  0.1671
Ga  0.0000  0.2500  0.5000
Ge  0.0000  0.5000  0.2500
B  0.0000  0.0000  0.0000
H  0.0781  0.0781  0.9219
O  0.0841  0.3615  0.6454

Theoretical density: 3.18 g/cm³
Uncorrected energy: -5.721 eV per atom

=====

This record from Alexandria via LeMat-Bulk describes a relaxed KCr2Fe crystal. The functional is GGA-PBEsol.

Unit cell a=6.4938 b=6.4938 c=6.4938 alpha=90.00 beta=90.00 gamma=90.00
Space group F-43m (No. 216)
Unique sites:
K  0.0000  0.0000  0.0000
Cr  0.0000  0.0000  0.5000
Cr  0.2500  0.2500  0.2500
Fe  0.2500  0.2500  0.7500

DFT formation energy: 1530 meV/atom
Theoretical density: 4.83 g/cm³
Uncorrected energy: -6.116 eV per atom
Energy above the lowest structure with this stoichiometry: 59.94 kJ/mol of atoms